Material: ScBe2Ga2
Method: DFT, PBE
State: optimized geometry

a b c (Å): 3.785 3.785 9.876
angles (deg): 90.00 90.00 90.00
Fractional coordinates of all 10 atoms:
Sc 0.250 0.250 0.247
Sc 0.750 0.750 0.753
Be 0.250 0.250 0.643
Be 0.250 0.750 0.000
Be 0.750 0.250 0.000
Be 0.750 0.750 0.357
Ga 0.250 0.250 0.864
Ga 0.250 0.750 0.500
Ga 0.750 0.250 0.500
Ga 0.750 0.750 0.136

Properties
Calculated total energy in eV/cell: -42.62
Space-group type: P4/nmm (129)
ΔE to the lowest computed polymorph in eV/atom: 0.000
Energy of formation from the pure elements in eV/atom: -0.29

=====

Material: Sc2Be2Ga
Method: DFT, PBE
State: optimized geometry

a b c (Å): 7.517 7.517 3.109
angles (deg): 90.00 90.00 90.00
Fractional coordinates of all 10 atoms:
Sc 0.181 0.319 0.000
Sc 0.319 0.819 0.000
Sc 0.681 0.181 0.000
Sc 0.819 0.681 0.000
Be 0.103 0.603 0.500
Be 0.397 0.103 0.500
Be 0.603 0.897 0.500
Be 0.897 0.397 0.500
Ga 0.000 0.000 0.000
Ga 0.500 0.500 0.000

Properties
Calculated total energy in eV/cell: -44.55
Space-group type: P4/mbm (127)
ΔE to the lowest computed polymorph in eV/atom: 0.449
Energy of formation from the pure elements in eV/atom: 0.17

=====

Material: ScBeGa
Method: DFT, PBE
State: optimized geometry

a b c (Å): 12.353 12.353 12.353
angles (deg): 24.09 24.09 24.09
Fractional coordinates of all 18 atoms:
Sc 0.039 0.039 0.039
Sc 0.182 0.182 0.182
Sc 0.267 0.267 0.267
Sc 0.733 0.733 0.733
Sc 0.818 0.818 0.818
Sc 0.961 0.961 0.961
Be 0.000 0.500 0.500
Be 0.384 0.384 0.384
Be 0.500 0.000 0.500
Be 0.500 0.500 0.000
Be 0.500 0.500 0.500
Be 0.616 0.616 0.616
Ga 0.221 0.725 0.725
Ga 0.275 0.275 0.779
Ga 0.275 0.779 0.275
Ga 0.725 0.221 0.725
Ga 0.725 0.725 0.221
Ga 0.779 0.275 0.275

Properties
Calculated total energy in eV/cell: -83.35
Space-group type: R-3m (166)
ΔE to the lowest computed polymorph in eV/atom: 0.170
Energy of formation from the pure elements in eV/atom: -0.27

=====

Material: TbScBeGa
Method: DFT, PBE
State: optimized geometry

a b c (Å): 4.801 4.801 4.801
angles (deg): 60.00 60.00 60.00
Fractional coordinates of all 4 atoms:
Tb 0.000 0.000 0.000
Sc 0.500 0.500 0.500
Be 0.250 0.250 0.250
Ga 0.750 0.750 0.750

Properties
Calculated total energy in eV/cell: -18.78
Space-group type: F-43m (216)
Energy of formation from the pure elements in eV/atom: -0.27

=====

Material: YScBeGa
Method: DFT, PBE
State: optimized geometry

a b c (Å): 4.794 4.794 4.794
angles (deg): 60.00 60.00 60.00
Fractional coordinates of all 4 atoms:
Y 0.000 0.000 0.000
Sc 0.500 0.500 0.500
Be 0.750 0.750 0.750
Ga 0.250 0.250 0.250

Properties
Calculated total energy in eV/cell: -20.67
Space-group type: F-43m (216)
Energy of formation from the pure elements in eV/atom: -0.28

=====

Material: BeGaSe3
Method: DFT, PBE
State: optimized geometry

a b c (Å): 4.944 4.944 4.944
angles (deg): 90.00 90.00 90.00
Fractional coordinates of all 5 atoms:
Be 0.000 0.000 0.000
Ga 0.500 0.500 0.500
Se 0.000 0.500 0.500
Se 0.500 0.000 0.500
Se 0.500 0.500 0.000

Properties
Calculated total energy in eV/cell: -13.38
Space-group type: Pm-3m (221)
ΔE to the lowest computed polymorph in eV/atom: 0.594

=====

Material: BeGaSe
Method: DFT, PBE
State: optimized geometry

a b c (Å): 5.924 3.574 6.367
angles (deg): 90.00 111.66 90.00
Fractional coordinates of all 6 atoms:
Be 0.000 0.000 0.000
Be 0.006 0.500 0.502
Ga 0.415 0.000 0.238
Ga 0.424 0.500 0.563
Se 0.869 0.000 0.287
Se 0.885 0.500 0.791

Properties
Calculated total energy in eV/cell: -21.81
Space-group type: Pm (6)
ΔE to the lowest computed polymorph in eV/atom: 0.087

=====

Material: BeGaSe
Method: DFT, PBE
State: optimized geometry

a b c (Å): 6.077 6.077 6.612
angles (deg): 113.64 113.64 34.07
Fractional coordinates of all 6 atoms:
Be 0.000 0.000 0.000
Be 0.662 0.662 0.231
Ga 0.350 0.350 0.396
Ga 0.816 0.816 0.061
Se 0.117 0.117 0.384
Se 0.549 0.549 0.846

Properties
Calculated total energy in eV/cell: -21.73
Space-group type: Cm (8)
ΔE to the lowest computed polymorph in eV/atom: 0.101